Version i
Density functional theory data (PBE) for an optimized crystal structure of Ac4Ga2Pt.

Unit cell a=5.7883 b=5.7883 c=15.8502 alpha=90.00 beta=90.00 gamma=90.00
With the nearest neighbours (Å) after each atom.
Fractional coordinates of all 14 atoms:
Ac: 0.0000 0.0000 0.1940  1 Pt 3.07, 1 Ga 3.09
Ac: 0.0000 0.0000 0.8060  1 Pt 3.07, 1 Ga 3.09
Ac: 0.0000 0.5000 0.0000  2 Pt 2.89
Ac: 0.0000 0.5000 0.5000  2 Pt 2.89
Ac: 0.5000 0.0000 0.0000  2 Pt 2.89
Ac: 0.5000 0.0000 0.5000  2 Pt 2.89
Ac: 0.5000 0.5000 0.3060  1 Pt 3.07, 1 Ga 3.09
Ac: 0.5000 0.5000 0.6940  1 Pt 3.07, 1 Ga 3.09
Ga: 0.0000 0.0000 0.3892  5 Ac 3.09-3.39
Ga: 0.0000 0.0000 0.6108  5 Ac 3.09-3.39
Ga: 0.5000 0.5000 0.1108  5 Ac 3.09-3.39
Ga: 0.5000 0.5000 0.8892  5 Ac 3.09-3.39
Pt: 0.0000 0.0000 0.0000  6 Ac 2.89-3.07
Pt: 0.5000 0.5000 0.5000  6 Ac 2.89-3.07

Results
Space group   I4/mmm, No. 139

***

Version ii
Density functional theory data (PBE) for an optimized crystal structure of Ac4Ga2Pt.

Unit cell a=17.8240 b=4.3264 c=6.6368 alpha=90.00 beta=111.41 gamma=90.00
With the nearest neighbours (Å) after each atom.
Fractional coordinates of all 14 atoms:
Ac: 0.0956 0.0000 0.4611  1 Pt 2.91, 3 Ga 3.20-3.21
Ac: 0.1331 0.5000 0.0110  2 Pt 3.19, 2 Ga 3.43
Ac: 0.3669 0.0000 0.9890  2 Pt 3.19, 2 Ga 3.43
Ac: 0.4044 0.5000 0.5389  1 Pt 2.91, 3 Ga 3.20-3.21
Ac: 0.5956 0.5000 0.4611  1 Pt 2.91, 3 Ga 3.20-3.21
Ac: 0.6331 0.0000 0.0110  2 Pt 3.19, 2 Ga 3.43
Ac: 0.8669 0.5000 0.9890  2 Pt 3.19, 2 Ga 3.43
Ac: 0.9044 0.0000 0.5389  1 Pt 2.91, 3 Ga 3.20-3.21
Ga: 0.2383 0.5000 0.6223  2 Ga 2.83
Ga: 0.2617 0.0000 0.3777  2 Ga 2.83
Ga: 0.7383 0.0000 0.6223  2 Ga 2.83
Ga: 0.7617 0.5000 0.3777  2 Ga 2.83
Pt: 0.0000 0.0000 0.0000  6 Ac 2.91-3.19
Pt: 0.5000 0.5000 0.0000  6 Ac 2.91-3.19

Results
Space group   C2/m, No. 12

***

Most stable = version ii

***

Version i
Density functional theory data (PBE) for an optimized crystal structure of AcGa2Pt3.

Unit cell a=6.6979 b=6.6979 c=5.5195 alpha=90.00 beta=90.00 gamma=78.18
With the nearest neighbours (Å) after each atom.
Fractional coordinates of all 12 atoms:
Ac: 0.1893 0.8107 0.7500  9 Pt 3.16-3.46
Ac: 0.8107 0.1893 0.2500  9 Pt 3.16-3.46
Ga: 0.2924 0.2924 0.0000  4 Pt 2.50-2.62, 2 Ga 2.76
Ga: 0.2924 0.2924 0.5000  4 Pt 2.50-2.62, 2 Ga 2.76
Ga: 0.7076 0.7076 0.0000  4 Pt 2.50-2.62, 2 Ga 2.76
Ga: 0.7076 0.7076 0.5000  4 Pt 2.50-2.62, 2 Ga 2.76
Pt: 0.0229 0.6089 0.2500  2 Ga 2.50, 1 Pt 2.72
Pt: 0.3911 0.9771 0.2500  2 Ga 2.50, 1 Pt 2.72
Pt: 0.4363 0.5637 0.2500  4 Ga 2.62, 2 Pt 2.72
Pt: 0.5637 0.4363 0.7500  4 Ga 2.62, 2 Pt 2.72
Pt: 0.6089 0.0229 0.7500  2 Ga 2.50, 1 Pt 2.72
Pt: 0.9771 0.3911 0.7500  2 Ga 2.50, 1 Pt 2.72

Results
Space group   Cmcm, No. 63

***

Version ii
Density functional theory data (PBE) for an optimized crystal structure of AcGa2Pt3.

Unit cell a=6.6637 b=6.6637 c=5.9346 alpha=90.00 beta=90.00 gamma=102.53
With the nearest neighbours (Å) after each atom.
Fractional coordinates of all 12 atoms:
Ac: 0.1743 0.8257 0.7500  10 Pt 3.29-3.64, 4 Ga 3.59
Ac: 0.8257 0.1743 0.2500  10 Pt 3.29-3.64, 4 Ga 3.59
Ga: 0.3257 0.3257 0.0000  4 Pt 2.48-2.53
Ga: 0.3257 0.3257 0.5000  4 Pt 2.48-2.53
Ga: 0.6743 0.6743 0.0000  4 Pt 2.48-2.53
Ga: 0.6743 0.6743 0.5000  4 Pt 2.48-2.53
Pt: 0.0264 0.3208 0.7500  2 Ga 2.48, 1 Pt 2.65
Pt: 0.3208 0.0264 0.2500  2 Ga 2.48, 1 Pt 2.65
Pt: 0.3610 0.6390 0.2500  4 Ga 2.53, 2 Pt 2.65
Pt: 0.6390 0.3610 0.7500  4 Ga 2.53, 2 Pt 2.65
Pt: 0.6792 0.9736 0.7500  2 Ga 2.48, 1 Pt 2.65
Pt: 0.9736 0.6792 0.2500  2 Ga 2.48, 1 Pt 2.65

Results
Space group   Cmcm, No. 63

***

Most stable = version i

***

Version i
Density functional theory data (PBE) for an optimized crystal structure of Ac2GaPt3.

Unit cell a=9.0225 b=8.8175 c=6.1866 alpha=71.50 beta=67.94 gamma=40.56
With the nearest neighbours (Å) after each atom.
Fractional coordinates of all 12 atoms:
Ac: 0.2424 0.7576 0.7576  10 Pt 3.34-3.41, 2 Ga 3.36
Ac: 0.2500 0.2500 0.2500  8 Pt 3.28-3.33, 4 Ga 3.35
Ac: 0.7500 0.7500 0.7500  8 Pt 3.28-3.33, 4 Ga 3.35
Ac: 0.7576 0.2424 0.2424  10 Pt 3.34-3.41, 2 Ga 3.36
Ga: 0.3332 0.3332 0.6668  3 Pt 2.51-2.52
Ga: 0.6668 0.6668 0.3332  3 Pt 2.51-2.52
Pt: 0.1710 0.1710 0.8290  1 Ga 2.52, 2 Pt 2.73
Pt: 0.1750 0.6509 0.3491  1 Ga 2.51, 2 Pt 2.71-2.73
Pt: 0.3491 0.8250 0.1750  1 Ga 2.51, 2 Pt 2.71-2.73
Pt: 0.6509 0.1750 0.8250  1 Ga 2.51, 2 Pt 2.71-2.73
Pt: 0.8250 0.3491 0.6509  1 Ga 2.51, 2 Pt 2.71-2.73
Pt: 0.8290 0.8290 0.1710  1 Ga 2.52, 2 Pt 2.73

Results
Space group   Fmmm, No. 69

***

Version ii
Density functional theory data (PBE) for an optimized crystal structure of Ac2GaPt3.

Unit cell a=4.2505 b=4.2930 c=16.4011 alpha=90.00 beta=90.00 gamma=90.00
With the nearest neighbours (Å) after each atom.
Fractional coordinates of all 12 atoms:
Ac: 0.0000 0.0000 0.0000  8 Pt 3.17-3.55, 4 Ga 3.39
Ac: 0.0000 0.5000 0.2361  10 Pt 3.25-3.60, 2 Ga 3.52
Ac: 0.5000 0.0000 0.7361  10 Pt 3.25-3.60, 2 Ga 3.52
Ac: 0.5000 0.5000 0.5000  8 Pt 3.17-3.55, 4 Ga 3.39
Ga: 0.0000 0.0000 0.4061  3 Pt 2.48-2.51
Ga: 0.5000 0.5000 0.9061  3 Pt 2.48-2.51
Pt: 0.0000 0.0000 0.5589  1 Ga 2.51, 2 Pt 2.74
Pt: 0.0000 0.5000 0.6625  3 Pt 2.71-2.74
Pt: 0.0000 0.5000 0.8279  2 Ga 2.48, 1 Pt 2.71
Pt: 0.5000 0.0000 0.1625  3 Pt 2.71-2.74
Pt: 0.5000 0.0000 0.3279  2 Ga 2.48, 1 Pt 2.71
Pt: 0.5000 0.5000 0.0589  1 Ga 2.51, 2 Pt 2.74

Results
Space group   Imm2, No. 44

***

Most stable = version ii

***

Version i
Density functional theory data (PBE) for an optimized crystal structure of Ac3Ga3Pt2.

Unit cell a=6.2872 b=6.2872 c=16.5360 alpha=90.00 beta=90.00 gamma=139.11
With the nearest neighbours (Å) after each atom.
Fractional coordinates of all 16 atoms:
Ac: 0.0794 0.9206 0.7500  4 Pt 3.19, 5 Ga 3.23-3.38
Ac: 0.3503 0.6497 0.5921  4 Pt 3.25-3.57, 7 Ga 3.34-3.48
Ac: 0.3503 0.6497 0.9079  4 Pt 3.25-3.57, 7 Ga 3.34-3.48
Ac: 0.6497 0.3503 0.0921  4 Pt 3.25-3.57, 7 Ga 3.34-3.48
Ac: 0.6497 0.3503 0.4079  4 Pt 3.25-3.57, 7 Ga 3.34-3.48
Ac: 0.9206 0.0794 0.2500  4 Pt 3.19, 5 Ga 3.23-3.38
Ga: 0.0720 0.9280 0.5549  1 Ga 2.48, 2 Pt 2.61
Ga: 0.0720 0.9280 0.9451  1 Ga 2.48, 2 Pt 2.61
Ga: 0.2079 0.7921 0.2500  2 Pt 2.73
Ga: 0.7921 0.2079 0.7500  2 Pt 2.73
Ga: 0.9280 0.0720 0.0549  1 Ga 2.48, 2 Pt 2.61
Ga: 0.9280 0.0720 0.4451  1 Ga 2.48, 2 Pt 2.61
Pt: 0.3490 0.6510 0.1194  3 Ga 2.61-2.73
Pt: 0.3490 0.6510 0.3806  3 Ga 2.61-2.73
Pt: 0.6510 0.3490 0.6194  3 Ga 2.61-2.73
Pt: 0.6510 0.3490 0.8806  3 Ga 2.61-2.73

Results
Space group   Cmcm, No. 63

***

Version ii
Density functional theory data (PBE) for an optimized crystal structure of Ac3Ga3Pt2.

Unit cell a=6.1569 b=6.1569 c=16.1109 alpha=90.00 beta=90.00 gamma=137.63
With the nearest neighbours (Å) after each atom.
Fractional coordinates of all 16 atoms:
Ac: 0.0662 0.9338 0.6057  3 Pt 3.28-3.33, 7 Ga 3.32-3.57
Ac: 0.0662 0.9338 0.8943  3 Pt 3.28-3.33, 7 Ga 3.32-3.57
Ac: 0.3434 0.6566 0.7500  5 Ga 3.25-3.45, 4 Pt 3.26
Ac: 0.6566 0.3434 0.2500  5 Ga 3.25-3.45, 4 Pt 3.26
Ac: 0.9338 0.0662 0.1057  3 Pt 3.28-3.33, 7 Ga 3.32-3.57
Ac: 0.9338 0.0662 0.3943  3 Pt 3.28-3.33, 7 Ga 3.32-3.57
Ga: 0.3438 0.6562 0.5358  3 Pt 2.64-2.72
Ga: 0.3438 0.6562 0.9642  3 Pt 2.64-2.72
Ga: 0.3625 0.6375 0.2500  2 Pt 2.76
Ga: 0.6375 0.3625 0.7500  2 Pt 2.76
Ga: 0.6562 0.3438 0.0358  3 Pt 2.64-2.72
Ga: 0.6562 0.3438 0.4642  3 Pt 2.64-2.72
Pt: 0.2237 0.7763 0.1099  4 Ga 2.64-2.76
Pt: 0.2237 0.7763 0.3901  4 Ga 2.64-2.76
Pt: 0.7763 0.2237 0.6099  4 Ga 2.64-2.76
Pt: 0.7763 0.2237 0.8901  4 Ga 2.64-2.76

Results
Space group   Cmcm, No. 63

***

Most stable = version i

***

Version i
Density functional theory data (PBE) for an optimized crystal structure of Ac3Ga4Pt2.

Unit cell a=6.1163 b=6.1163 c=9.4598 alpha=107.93 beta=107.93 gamma=42.41
With the nearest neighbours (Å) after each atom.
Fractional coordinates of all 9 atoms:
Ac: 0.0000 0.0000 0.0000  6 Ga 3.31-3.35, 4 Pt 3.63
Ac: 0.3906 0.3906 0.3077  3 Pt 3.18-3.35, 8 Ga 3.30-3.50
Ac: 0.6094 0.6094 0.6923  3 Pt 3.18-3.35, 8 Ga 3.30-3.50
Ga: 0.1422 0.1422 0.4311  3 Pt 2.59-2.72
Ga: 0.2732 0.2732 0.9381  1 Pt 2.58, 2 Ga 2.64
Ga: 0.7268 0.7268 0.0619  1 Pt 2.58, 2 Ga 2.64
Ga: 0.8578 0.8578 0.5689  3 Pt 2.59-2.72
Pt: 0.3316 0.3316 0.6968  4 Ga 2.58-2.72
Pt: 0.6684 0.6684 0.3032  4 Ga 2.58-2.72

Results
Space group   C2/m, No. 12

***

Version ii
Density functional theory data (PBE) for an optimized crystal structure of Ac3Ga4Pt2.

Unit cell a=6.2532 b=6.2532 c=9.0323 alpha=107.49 beta=107.49 gamma=42.18
With the nearest neighbours (Å) after each atom.
Fractional coordinates of all 9 atoms:
Ac: 0.0000 0.0000 0.0000  8 Ga 3.17-3.50, 4 Pt 3.26
Ac: 0.3225 0.3225 0.3542  3 Pt 3.21-3.28, 7 Ga 3.25-3.47
Ac: 0.6775 0.6775 0.6458  3 Pt 3.21-3.28, 7 Ga 3.25-3.47
Ga: 0.0267 0.0267 0.3608  2 Pt 2.66, 1 Ga 2.78
Ga: 0.2584 0.2584 0.9198  1 Pt 2.68, 2 Ga 2.72
Ga: 0.7416 0.7416 0.0802  1 Pt 2.68, 2 Ga 2.72
Ga: 0.9733 0.9733 0.6392  2 Pt 2.66, 1 Ga 2.78
Pt: 0.3928 0.3928 0.7288  3 Ga 2.66-2.68
Pt: 0.6072 0.6072 0.2712  3 Ga 2.66-2.68

Results
Space group   C2/m, No. 12

***

Most stable = version ii

***

Version i
Density functional theory data (PBE) for an optimized crystal structure of Ac2PuGa.

Unit cell a=3.7576 b=3.7576 c=35.8919 alpha=90.00 beta=90.00 gamma=120.00
With the nearest neighbours (Å) after each atom.
Fractional coordinates of all 12 atoms:
Ac: 0.0000 0.0000 0.0998  3 Ga 3.24, 1 Pu 3.58
Ac: 0.0000 0.0000 0.9002  3 Ga 3.24, 1 Pu 3.58
Ac: 0.3333 0.6667 0.5669  3 Ga 3.24, 1 Pu 3.58
Ac: 0.3333 0.6667 0.7665  3 Ga 3.24, 1 Pu 3.58
Ac: 0.6667 0.3333 0.2335  3 Ga 3.24, 1 Pu 3.58
Ac: 0.6667 0.3333 0.4331  3 Ga 3.24, 1 Pu 3.58
Pu: 0.0000 0.0000 0.0000  2 Ac 3.58, 6 Pu 3.76
Pu: 0.3333 0.6667 0.6667  2 Ac 3.58, 6 Pu 3.76
Pu: 0.6667 0.3333 0.3333  2 Ac 3.58, 6 Pu 3.76
Ga: 0.0000 0.0000 0.5000  6 Ac 3.24
Ga: 0.3333 0.6667 0.1667  6 Ac 3.24
Ga: 0.6667 0.3333 0.8333  6 Ac 3.24

Results
Space group   R-3m, No. 166

***

Version ii
Density functional theory data (PBE) for an optimized crystal structure of Ac2PuGa.

Unit cell a=3.9058 b=3.9058 c=8.8477 alpha=90.00 beta=90.00 gamma=90.00
With the nearest neighbours (Å) after each atom.
Fractional coordinates of all 4 atoms:
Ac: 0.0000 0.0000 0.2151  4 Ga 3.35, 4 Pu 3.74
Ac: 0.0000 0.0000 0.7849  4 Ga 3.35, 4 Pu 3.74
Pu: 0.5000 0.5000 0.5000  8 Ac 3.74, 4 Pu 3.91
Ga: 0.5000 0.5000 0.0000  8 Ac 3.35

Results
Space group   P4/mmm, No. 123

***

Most stable = version ii

***

Version i
Density functional theory data (PBE) for an optimized crystal structure of AcGa2Rh.

Unit cell a=4.3722 b=18.9772 c=4.3198 alpha=90.00 beta=90.00 gamma=90.00
With the nearest neighbours (Å) after each atom.
Fractional coordinates of all 16 atoms:
Ac: 0.0000 0.1418 0.0000  4 Rh 3.32, 10 Ga 3.35-3.52
Ac: 0.0000 0.8582 0.0000  4 Rh 3.32, 10 Ga 3.35-3.52
Ac: 0.5000 0.3582 0.0000  4 Rh 3.32, 10 Ga 3.35-3.52
Ac: 0.5000 0.6418 0.0000  4 Rh 3.32, 10 Ga 3.35-3.52
Ga: 0.0000 0.0000 0.5000  4 Rh 2.61
Ga: 0.0000 0.2883 0.5000  1 Rh 2.59, 2 Ga 2.63
Ga: 0.0000 0.5000 0.0000  4 Rh 2.59
Ga: 0.0000 0.7117 0.5000  1 Rh 2.59, 2 Ga 2.63
Ga: 0.5000 0.0000 0.0000  4 Rh 2.59
Ga: 0.5000 0.2117 0.5000  1 Rh 2.59, 2 Ga 2.63
Ga: 0.5000 0.5000 0.5000  4 Rh 2.61
Ga: 0.5000 0.7883 0.5000  1 Rh 2.59, 2 Ga 2.63
Rh: 0.0000 0.4248 0.5000  5 Ga 2.59-2.61, 1 Rh 2.85
Rh: 0.0000 0.5752 0.5000  5 Ga 2.59-2.61, 1 Rh 2.85
Rh: 0.5000 0.0752 0.5000  5 Ga 2.59-2.61, 1 Rh 2.85
Rh: 0.5000 0.9248 0.5000  5 Ga 2.59-2.61, 1 Rh 2.85

Results
Space group   Cmmm, No. 65

***

Version ii
Density functional theory data (PBE) for an optimized crystal structure of AcGa2Rh.

Unit cell a=4.2201 b=10.8277 c=7.6464 alpha=90.00 beta=90.00 gamma=90.00
With the nearest neighbours (Å) after each atom.
Fractional coordinates of all 16 atoms:
Ac: 0.0000 0.0590 0.2500  3 Rh 2.98-3.22
Ac: 0.0000 0.9410 0.7500  3 Rh 2.98-3.22
Ac: 0.5000 0.4410 0.7500  3 Rh 2.98-3.22
Ac: 0.5000 0.5590 0.2500  3 Rh 2.98-3.22
Ga: 0.0000 0.3348 0.0546  3 Rh 2.64-2.66, 2 Ga 2.92
Ga: 0.0000 0.3348 0.4454  3 Rh 2.64-2.66, 2 Ga 2.92
Ga: 0.0000 0.6652 0.5546  3 Rh 2.64-2.66, 2 Ga 2.92
Ga: 0.0000 0.6652 0.9454  3 Rh 2.64-2.66, 2 Ga 2.92
Ga: 0.5000 0.1652 0.5546  3 Rh 2.64-2.66, 2 Ga 2.92
Ga: 0.5000 0.1652 0.9454  3 Rh 2.64-2.66, 2 Ga 2.92
Ga: 0.5000 0.8348 0.0546  3 Rh 2.64-2.66, 2 Ga 2.92
Ga: 0.5000 0.8348 0.4454  3 Rh 2.64-2.66, 2 Ga 2.92
Rh: 0.0000 0.2159 0.7500  6 Ga 2.64-2.66
Rh: 0.0000 0.7841 0.2500  6 Ga 2.64-2.66
Rh: 0.5000 0.2841 0.2500  6 Ga 2.64-2.66
Rh: 0.5000 0.7159 0.7500  6 Ga 2.64-2.66

Results
Space group   Cmcm, No. 63

***

Most stable = version i

***

Version i
Density functional theory data (PBE) for an optimized crystal structure of AcGa2Rh.

Unit cell a=4.3069 b=4.3069 c=16.8655 alpha=90.00 beta=90.00 gamma=120.00
With the nearest neighbours (Å) after each atom.
Fractional coordinates of all 12 atoms:
Ac: 0.0000 0.0000 0.0000  8 Ga 3.28-3.48
Ac: 0.3333 0.6667 0.6667  8 Ga 3.28-3.48
Ac: 0.6667 0.3333 0.3333  8 Ga 3.28-3.48
Ga: 0.0000 0.0000 0.2066  3 Rh 2.58, 3 Ga 2.83
Ga: 0.0000 0.0000 0.7934  3 Rh 2.58, 3 Ga 2.83
Ga: 0.3333 0.6667 0.4601  3 Rh 2.58, 3 Ga 2.83
Ga: 0.3333 0.6667 0.8732  3 Rh 2.58, 3 Ga 2.83
Ga: 0.6667 0.3333 0.1268  3 Rh 2.58, 3 Ga 2.83
Ga: 0.6667 0.3333 0.5399  3 Rh 2.58, 3 Ga 2.83
Rh: 0.0000 0.0000 0.5000  6 Ga 2.58
Rh: 0.3333 0.6667 0.1667  6 Ga 2.58
Rh: 0.6667 0.3333 0.8333  6 Ga 2.58

Results
Space group   R-3m, No. 166

***

Version ii
Density functional theory data (PBE) for an optimized crystal structure of AcGa2Rh.

Unit cell a=3.4150 b=3.4150 c=7.1146 alpha=90.00 beta=90.00 gamma=90.00
With the nearest neighbours (Å) after each atom.
Fractional coordinates of all 4 atoms:
Ac: 0.0000 0.0000 0.0000  8 Ga 3.32, 4 Ac 3.42, 2 Rh 3.56
Ga: 0.5000 0.5000 0.3193  1 Ga 2.57, 4 Rh 2.74
Ga: 0.5000 0.5000 0.6807  1 Ga 2.57, 4 Rh 2.74
Rh: 0.0000 0.0000 0.5000  8 Ga 2.74

Results
Space group   P4/mmm, No. 123

***

Most stable = version i